A relaxed structure of Pr2Cu, computed with PBE-GGA.

Structure (POSCAR):
```
Pr2Cu
1.0
0.000 4.463 4.463
4.463 0.000 4.463
4.463 4.463 0.000
Cu Pr
2 4
Cartesian
0.000 0.000 0.000
2.232 2.232 2.232
3.348 3.348 5.579
3.348 5.579 3.348
5.579 3.348 3.348
5.579 5.579 5.579
```

## Properties
* magnetic moment: 0.06 μB/atom
* DFT formation energy: 0.751 eV/atom

A relaxed structure of Pr2Cu, computed with PBE-GGA.

Structure (POSCAR):
```
Pr2Cu
1.0
-4.121 -2.830 -0.399
-4.379 1.683 1.773
-3.650 1.320 -3.175
Cu Pr
1 2
Cartesian
0.000 0.000 0.000
-3.037 0.043 -0.450
-9.112 0.130 -1.351
```

## Properties
* magnetic moment: 0.37 μB/atom
* DFT formation energy: 0.128 eV/atom

A relaxed structure of PrCu, computed with PBE-GGA.

Structure (POSCAR):
```
PrCu
1.0
0.000 3.208 3.208
3.208 0.000 3.208
3.208 3.208 0.000
Cu Pr
1 1
Cartesian
0.000 0.000 0.000
1.604 1.604 1.604
```

## Properties
* magnetic moment: 0.00 μB/atom
* DFT formation energy: 0.508 eV/atom

A relaxed structure of PrCu, computed with PBE-GGA.

Structure (POSCAR):
```
PrCu
1.0
0.000 2.967 2.967
2.967 0.000 2.967
2.967 2.967 0.000
Cu Pr
1 1
Cartesian
0.000 0.000 0.000
2.967 2.967 2.967
```

## Properties
* magnetic moment: 0.20 μB/atom
* DFT formation energy: 0.088 eV/atom

A relaxed structure of PrCu, computed with PBE-GGA.

Structure (POSCAR):
```
PrCu
1.0
3.502 0.000 0.000
-1.751 3.033 0.000
0.000 0.000 4.441
Cu Pr
1 1
Cartesian
1.751 1.011 3.331
0.000 2.022 1.110
```

## Properties
* magnetic moment: 0.00 μB/atom
* DFT formation energy: 0.149 eV/atom

A relaxed structure of Pr2Cu, computed with PBE-GGA.

Structure (POSCAR):
```
Pr2Cu
1.0
3.891 2.578 7.367
4.935 7.190 0.040
-2.773 7.170 4.118
Cu Pr
2 4
Cartesian
0.757 2.117 1.441
5.296 14.820 10.084
0.000 0.000 0.000
1.945 1.289 3.683
2.467 3.595 0.020
-1.387 3.585 2.059
```

## Properties
* magnetic moment: 0.01 μB/atom
* DFT formation energy: 1.337 eV/atom